Record 1
A geometry-optimized DyBiPb2O6 structure, computed with PBE.

Properties
Magnetic moment (μB/cell): 0.00
ΔE_f (raw) (meV/atom): -1636
Calculated density (g/cm3): 9.38
Space-group type: P2_1/c (14)

Unit cell a=5.9757 b=6.1037 c=8.5634 alpha=90.00 beta=89.87 gamma=90.00
Closest atoms and distances in Å follow each position.
Positions (direct):
Dy: 0.5000 0.0000 0.0000  6 O 2.26-2.27
Dy: 0.0000 0.5000 0.5000  6 O 2.26-2.27
Bi: 0.5000 0.0000 0.5000  6 O 2.15
Bi: 0.0000 0.5000 0.0000  6 O 2.15
Pb: 0.0053 0.9657 0.2492  4 O 2.51-2.75
Pb: 0.5053 0.5343 0.7492  4 O 2.51-2.75
Pb: 0.9947 0.0343 0.7508  4 O 2.51-2.75
Pb: 0.4947 0.4657 0.2508  4 O 2.51-2.75
O: 0.2914 0.6968 0.0446  1 Bi 2.15, 1 Dy 2.26
O: 0.7914 0.8032 0.5446  1 Bi 2.15, 1 Dy 2.26
O: 0.7086 0.3032 0.9554  1 Bi 2.15, 1 Dy 2.26
O: 0.2086 0.1968 0.4554  1 Bi 2.15, 1 Dy 2.26
O: 0.3090 0.7086 0.4560  1 Bi 2.15, 1 Dy 2.27
O: 0.8090 0.7914 0.9560  1 Bi 2.15, 1 Dy 2.27
O: 0.6910 0.2914 0.5440  1 Bi 2.15, 1 Dy 2.27
O: 0.1910 0.2086 0.0440  1 Bi 2.15, 1 Dy 2.27
O: 0.9095 0.5248 0.2431  1 Bi 2.15, 1 Dy 2.27
O: 0.4095 0.9752 0.7431  1 Bi 2.15, 1 Dy 2.27
O: 0.0905 0.4752 0.7569  1 Bi 2.15, 1 Dy 2.27
O: 0.5905 0.0248 0.2569  1 Bi 2.15, 1 Dy 2.27

Record 2
A geometry-optimized DyBiPb2O5 structure, computed with PBE.

Properties
Magnetic moment (μB/cell): 0.00
ΔE_f (raw) (meV/atom): -1774
Density of states at the Fermi level (states/eV/cell): 0.000
Calculated density (g/cm3): 8.63
Space-group type: Cmc2_1 (36)

Unit cell a=3.6934 b=7.1321 c=13.1008 alpha=90.00 beta=90.00 gamma=105.01
Closest atoms and distances in Å follow each position.
Positions (direct):
Dy: 0.7295 0.4589 0.4967  7 O 2.32-2.48
Dy: 0.2705 0.5411 0.9967  7 O 2.32-2.48
Bi: 0.5465 0.0931 0.9391  4 O 2.23-2.39
Bi: 0.4535 0.9069 0.4391  4 O 2.23-2.39
Pb: 0.8220 0.6439 0.7669  3 O 2.27-2.35
Pb: 0.0703 0.1406 0.6685  3 O 2.19-2.28
Pb: 0.1780 0.3561 0.2669  3 O 2.27-2.35
Pb: 0.9297 0.8594 0.1685  3 O 2.19-2.28
O: 0.4375 0.8750 0.0670  1 Bi 2.25, 2 Pb 2.28, 1 Dy 2.48
O: 0.7158 0.4317 0.8994  1 Pb 2.27, 2 Dy 2.37, 1 Bi 2.39
O: 0.3786 0.7572 0.8607  1 Dy 2.32, 2 Pb 2.35, 1 Bi 2.53
O: 0.2179 0.4358 0.6066  1 Pb 2.19, 2 Dy 2.35
O: 0.9035 0.8069 0.5190  2 Bi 2.23, 1 Dy 2.42
O: 0.5625 0.1250 0.5670  1 Bi 2.25, 2 Pb 2.28, 1 Dy 2.48
O: 0.2842 0.5683 0.3994  1 Pb 2.27, 2 Dy 2.37, 1 Bi 2.39
O: 0.6214 0.2428 0.3607  1 Dy 2.32, 2 Pb 2.35, 1 Bi 2.53
O: 0.7821 0.5642 0.1066  1 Pb 2.19, 2 Dy 2.35
O: 0.0965 0.1931 0.0190  2 Bi 2.23, 1 Dy 2.42

Record 3
A geometry-optimized PmDyBi2O6 structure, computed with PBE.

Properties
Magnetic moment (μB/cell): 0.00
ΔE_f (raw) (meV/atom): -2330
Density of states at the Fermi level (states/eV/cell): 0.000
Calculated density (g/cm3): 8.29
Space-group type: R3 (146)

Unit cell a=6.0919 b=6.0924 c=6.2100 alpha=60.63 beta=60.63 gamma=59.99
Closest atoms and distances in Å follow each position.
Positions (direct):
Pm: 0.8043 0.8045 0.5867  6 O 2.31-2.45
Dy: 0.3084 0.3083 0.0748  6 O 2.25-2.36
Bi: 0.5213 0.5215 0.4357  6 O 2.31-2.54
Bi: 0.0201 0.0201 0.9395  6 O 2.32-2.52
O: 0.6224 0.1837 0.2444  1 Dy 2.25, 1 Bi 2.32, 1 Pm 2.45
O: 0.1838 0.9494 0.2445  1 Dy 2.25, 1 Bi 2.32, 1 Pm 2.45
O: 0.9495 0.6226 0.2443  1 Dy 2.25, 1 Bi 2.32, 1 Pm 2.45
O: 0.4364 0.6809 0.7484  1 Pm 2.31, 2 Bi 2.31-2.51, 1 Dy 2.36
O: 0.6810 0.1341 0.7486  1 Pm 2.31, 2 Bi 2.31-2.51, 1 Dy 2.36
O: 0.1344 0.4365 0.7483  1 Pm 2.31, 2 Bi 2.31-2.52, 1 Dy 2.36

Record 4
A geometry-optimized Pm2DyBi2O2 structure, computed with PBE.

Properties
Magnetic moment (μB/cell): 0.00
ΔE_f (raw) (meV/atom): -1838
Density of states at the Fermi level (states/eV/cell): 3.272
Calculated density (g/cm3): 9.24
Space-group type: I4/mmm (139)

Unit cell a=4.3963 b=4.3963 c=8.9508 alpha=104.22 beta=104.22 gamma=90.00
Closest atoms and distances in Å follow each position.
Positions (direct):
Pm: 0.3903 0.3903 0.7806  4 O 2.87
Pm: 0.6097 0.6097 0.2194  4 O 2.87
Dy: 0.0000 0.0000 0.0000  4 O 2.20
Bi: 0.1907 0.1907 0.3814  1 Dy 3.20, 5 Pm 3.35-3.39
Bi: 0.8093 0.8093 0.6186  1 Dy 3.20, 5 Pm 3.35-3.39
O: 0.0000 0.5000 0.0000  2 Dy 2.20
O: 0.5000 0.0000 0.0000  2 Dy 2.20

Record 5
A geometry-optimized PmDyBiO2 structure, computed with PBE.

Properties
Magnetic moment (μB/cell): 0.00
ΔE_f (raw) (meV/atom): -2641
Density of states at the Fermi level (states/eV/cell): 1.654
Calculated density (g/cm3): 8.52
Space-group type: I4mm (107)

Unit cell a=3.9401 b=3.9401 c=7.4289 alpha=105.38 beta=105.38 gamma=90.00
Closest atoms and distances in Å follow each position.
Positions (direct):
Pm: 0.8344 0.8344 0.6689  4 O 2.31
Dy: 0.1691 0.1691 0.3383  4 O 2.24
Bi: 0.5030 0.5030 0.0060  4 Dy 3.61, 4 Pm 3.63, 4 O 3.89, 4 Bi 3.94
O: 0.7467 0.2467 0.4934  2 Dy 2.24, 2 Pm 2.31
O: 0.2467 0.7467 0.4934  2 Dy 2.24, 2 Pm 2.31

Record 6
A geometry-optimized DyBiPtO6 structure, computed with PBE.

Properties
Magnetic moment (μB/cell): 0.00
ΔE_f (raw) (meV/atom): -1412
Density of states at the Fermi level (states/eV/cell): 10.594
Calculated density (g/cm3): 8.87
Space-group type: P-31c (163)

Unit cell a=5.5262 b=5.5262 c=9.3816 alpha=90.00 beta=90.00 gamma=120.00
Closest atoms and distances in Å follow each position.
Positions (direct):
Dy: 0.3333 0.6667 0.2500  6 O 2.25
Dy: 0.6667 0.3333 0.7500  6 O 2.25
Bi: 0.0000 0.0000 0.0000  6 O 2.28
Bi: 0.0000 0.0000 0.5000  6 O 2.28
Pt: 0.6667 0.3333 0.2500  6 O 2.02
Pt: 0.3333 0.6667 0.7500  6 O 2.02
O: 0.6678 0.6359 0.1290  1 Pt 2.02, 1 Dy 2.25
O: 0.9681 0.3322 0.1290  1 Pt 2.02, 1 Dy 2.25
O: 0.3322 0.9681 0.6290  1 Pt 2.02, 1 Dy 2.25
O: 0.0319 0.6679 0.8710  1 Pt 2.02, 1 Dy 2.25
O: 0.3641 0.3322 0.3710  1 Pt 2.02, 1 Dy 2.25
O: 0.9681 0.6359 0.3710  1 Pt 2.02, 1 Dy 2.25
O: 0.6359 0.9681 0.8710  1 Pt 2.02, 1 Dy 2.25
O: 0.6678 0.0319 0.3710  1 Pt 2.02, 1 Dy 2.25
O: 0.0319 0.3641 0.6290  1 Pt 2.02, 1 Dy 2.25
O: 0.3641 0.0319 0.1290  1 Pt 2.02, 1 Dy 2.25
O: 0.6359 0.6679 0.6290  1 Pt 2.02, 1 Dy 2.25
O: 0.3322 0.3641 0.8710  1 Pt 2.02, 1 Dy 2.25

Record 7
A geometry-optimized DyPuBi2O8 structure, computed with PBE.

Properties
Magnetic moment (μB/cell): 1.02
ΔE_f (raw) (meV/atom): -2119
Calculated density (g/cm3): 8.09
Space-group type: C2/m (12)

Unit cell a=5.2804 b=5.2848 c=7.0039 alpha=89.42 beta=90.59 gamma=90.25
Closest atoms and distances in Å follow each position.
Positions (direct):
Dy: 0.0000 0.0000 0.5000  6 O 2.29-2.33
Pu: 0.0000 0.0000 0.0000  4 O 1.92-2.02
Bi: 0.5138 0.4862 0.7404  3 O 2.22-2.24
Bi: 0.4862 0.5138 0.2596  3 O 2.22-2.24
O: 0.1874 0.8127 0.2426  1 Pu 2.19, 1 Bi 2.24, 1 Dy 2.30
O: 0.7423 0.7424 0.0000  1 Pu 1.92
O: 0.8292 0.1708 0.2198  1 Pu 2.02
O: 0.8126 0.1873 0.7574  1 Pu 2.19, 1 Bi 2.24, 1 Dy 2.30
O: 0.2577 0.2576 0.0000  1 Pu 1.92
O: 0.1708 0.8292 0.7802  1 Pu 2.02
O: 0.6930 0.6925 0.5000  2 Bi 2.22, 1 Dy 2.29
O: 0.3070 0.3075 0.5000  2 Bi 2.22, 1 Dy 2.29

Record 8
A geometry-optimized Dy2PuBiO8 structure, computed with PBE.

Properties
Magnetic moment (μB/cell): 1.00
ΔE_f (raw) (meV/atom): -2604
Calculated density (g/cm3): 8.12
Space-group type: Cmmm (65)

Unit cell a=5.1318 b=5.1292 c=7.0424 alpha=90.00 beta=90.00 gamma=90.93
Closest atoms and distances in Å follow each position.
Positions (direct):
Dy: 0.5000 0.5000 0.7436  6 O 2.18-2.40
Dy: 0.5000 0.5000 0.2564  6 O 2.18-2.40
Pu: 0.0000 0.0000 0.0000  6 O 2.01-2.05
Bi: 0.0000 0.0000 0.5000  6 O 2.26-2.42
O: 0.1863 0.8129 0.2165  1 Pu 2.05
O: 0.7199 0.7208 0.0000  1 Pu 2.01
O: 0.8137 0.1871 0.2165  1 Pu 2.05
O: 0.8137 0.1871 0.7835  1 Pu 2.05
O: 0.2801 0.2792 0.0000  1 Pu 2.01
O: 0.1863 0.8129 0.7835  1 Pu 2.05
O: 0.6860 0.6864 0.5000  2 Dy 2.18, 1 Bi 2.26
O: 0.3140 0.3136 0.5000  2 Dy 2.18, 1 Bi 2.26